Version one
{
  "formula": "SmEr2Fe",
  "functional": "PBE-GGA",
  "state": "relaxed",
  "lattice": [[-1.557, 1.940, -2.227], [-1.226, -2.715, -1.507], [-7.245, 0.310, 5.336]],
  "species": ["Fe", "Er", "Er", "Sm"],
  "frac_coords": [[0.500, 0.500, 0.000], [0.000, 0.000, 0.176], [0.000, 0.000, 0.824], [0.500, 0.500, 0.500]]
}

***

Version two
{
  "formula": "SmEr2Fe",
  "functional": "PBE-GGA",
  "state": "relaxed",
  "lattice": [[-1.333, -2.956, -1.412], [0.154, -3.043, 1.796], [-9.052, -0.037, 4.194]],
  "species": ["Er", "Er", "Fe", "Sm"],
  "frac_coords": [[0.272, 0.272, 0.185], [0.728, 0.728, 0.815], [0.000, 0.000, 0.000], [0.500, 0.500, 0.500]]
}

***

Most stable one: version one, least stable one: version two.

***

Version one
{
  "formula": "ErTaFe4",
  "functional": "PBE-GGA",
  "state": "relaxed",
  "lattice": [[-2.446, -3.720, -2.200], [2.054, -2.399, -3.832], [1.573, -4.677, 0.554]],
  "species": ["Fe", "Fe", "Fe", "Fe", "Ta", "Er"],
  "frac_coords": [[0.624, 0.624, 0.127], [0.624, 0.127, 0.624], [0.624, 0.624, 0.624], [0.127, 0.624, 0.624], [0.250, 0.250, 0.250], [0.000, 0.000, 0.000]]
}

***

Version two
{
  "formula": "ErTaFe4",
  "functional": "PBE-GGA",
  "state": "relaxed",
  "lattice": [[-3.226, 2.920, 2.351], [-1.517, -2.843, -3.752], [-1.641, -6.023, 5.229]],
  "species": ["Fe", "Fe", "Fe", "Fe", "Fe", "Fe", "Fe", "Fe", "Er", "Er", "Ta", "Ta"],
  "frac_coords": [[0.000, 0.000, 0.500], [0.832, 0.664, 0.264], [0.664, 0.832, 0.736], [0.336, 0.168, 0.264], [0.832, 0.168, 0.264], [0.000, 0.000, 0.000], [0.168, 0.832, 0.736], [0.168, 0.336, 0.736], [0.333, 0.667, 0.067], [0.667, 0.333, 0.933], [0.667, 0.333, 0.556], [0.333, 0.667, 0.444]]
}

***

Most stable one: version two, least stable one: version one.

***

Version one
{
  "formula": "Tb2ErFe",
  "functional": "PBE-GGA",
  "state": "relaxed",
  "lattice": [[-0.369, 1.847, -2.916], [2.124, -2.190, -1.656], [-6.701, -4.827, -2.210]],
  "species": ["Er", "Tb", "Tb", "Fe"],
  "frac_coords": [[0.500, 0.500, 0.500], [0.000, 0.000, 0.190], [0.000, 0.000, 0.810], [0.500, 0.500, 0.000]]
}

***

Version two
{
  "formula": "Tb2ErFe",
  "functional": "PBE-GGA",
  "state": "relaxed",
  "lattice": [[6.231, 0.000, 0.000], [0.000, 7.063, 0.000], [0.000, 0.000, 9.191]],
  "species": ["Fe", "Fe", "Fe", "Fe", "Tb", "Tb", "Tb", "Tb", "Tb", "Tb", "Tb", "Tb", "Er", "Er", "Er", "Er"],
  "frac_coords": [[0.533, 0.111, 0.750], [0.033, 0.389, 0.250], [0.967, 0.611, 0.750], [0.467, 0.889, 0.250], [0.827, 0.326, 0.567], [0.173, 0.674, 0.433], [0.827, 0.326, 0.933], [0.173, 0.674, 0.067], [0.327, 0.174, 0.067], [0.327, 0.174, 0.433], [0.673, 0.826, 0.567], [0.673, 0.826, 0.933], [0.141, 0.951, 0.750], [0.859, 0.049, 0.250], [0.359, 0.451, 0.750], [0.641, 0.549, 0.250]]
}

***

Most stable one: version two, least stable one: version one.

***

Version one
{
  "formula": "TbEr2Fe",
  "functional": "PBE-GGA",
  "state": "relaxed",
  "lattice": [[-0.390, -3.889, -4.854], [3.819, -4.737, 3.488], [-7.607, -3.575, 3.475]],
  "species": ["Fe", "Fe", "Fe", "Fe", "Tb", "Tb", "Tb", "Tb", "Er", "Er", "Er", "Er", "Er", "Er", "Er", "Er"],
  "frac_coords": [[0.466, 0.890, 0.250], [0.534, 0.110, 0.750], [0.034, 0.390, 0.250], [0.966, 0.610, 0.750], [0.635, 0.549, 0.250], [0.865, 0.049, 0.250], [0.365, 0.451, 0.750], [0.135, 0.951, 0.750], [0.828, 0.326, 0.933], [0.328, 0.174, 0.433], [0.172, 0.674, 0.067], [0.328, 0.174, 0.067], [0.672, 0.826, 0.933], [0.828, 0.326, 0.567], [0.172, 0.674, 0.433], [0.672, 0.826, 0.567]]
}

***

Version two
{
  "formula": "TbEr2Fe",
  "functional": "PBE-GGA",
  "state": "relaxed",
  "lattice": [[3.509, 0.000, 0.000], [1.754, 3.039, 0.000], [1.754, 1.013, 9.763]],
  "species": ["Er", "Er", "Tb", "Fe"],
  "frac_coords": [[0.271, 0.271, 0.188], [0.729, 0.729, 0.812], [0.500, 0.500, 0.500], [0.000, 0.000, 0.000]]
}

***

Version three
{
  "formula": "TbEr2Fe",
  "functional": "PBE-GGA",
  "state": "relaxed",
  "lattice": [[3.326, 0.000, 0.000], [0.000, 3.326, 0.000], [0.000, 0.000, 8.941]],
  "species": ["Er", "Er", "Fe", "Tb"],
  "frac_coords": [[0.000, 0.000, 0.822], [0.000, 0.000, 0.178], [0.500, 0.500, 0.000], [0.500, 0.500, 0.500]]
}

***

Most stable one: version one, least stable one: version two.